1.
This record from Alexandria describes Tm2Tc3Mo after structural relaxation. The functional is GGA-PBE.

Results
N(E_F) (states/eV/cell): 16.2
E (eV/cell): -155.73
E_form (eV/atom): -0.173

abc: 5.4333 5.4333 13.0613
angles: 90.00 90.00 120.00
Space group R-3m (No. 166, hexagonal axes)
One atom of each set of equivalent atoms:
Tm 0.0000 0.0000 0.1247
Tc 0.0000 0.5000 0.0000
Mo 0.0000 0.0000 0.5000

2.
This record from Alexandria describes Cs3Tm3ZrSe8 after structural relaxation. The functional is GGA-PBE.

Results
E (eV/cell): -231.79
Raw formation energy (meV/atom): -1658

abc: 8.2138 8.2138 25.5993
angles: 90.00 90.00 120.00
Space group R-3m (No. 166, hexagonal axes)
One atom of each set of equivalent atoms:
Cs 0.0000 0.5000 0.0000
Tm 0.0000 0.5000 0.5000
Zr 0.0000 0.0000 0.5000
Se 0.0000 0.0000 0.2276
Se 0.0109 0.5054 0.2265

3.
This record from Alexandria describes Zn2H2Se after structural relaxation. The functional is GGA-PBE.

Results
N(E_F) (states/eV/cell): 2.7
E (eV/cell): -22.99

abc: 3.3496 3.3496 10.6650
angles: 90.00 90.00 90.00
Space group I4/mmm (No. 139)
One atom of each set of equivalent atoms:
Zn 0.0000 0.0000 0.1458
H 0.0000 0.5000 0.2500
Se 0.0000 0.0000 0.5000